Here is crystalline V4ZnCu3O12 at its relaxed geometry from the Alexandria database. Energies are from GGA+U.

Values from the calculation:
Uncorrected energy ... -6.55 eV/atom
SG ... No. 148
DOS(E_F) ... 6.0 states/eV/f.u.

Lattice parameters (Å, degrees): 6.3878 6.3878 6.3878 109.61 109.61 109.61
Fractional coordinates of all 20 atoms:
V (0.0000, 0.0000, 0.0000)
V (0.0000, 0.5000, 0.5000)
V (0.5000, 0.0000, 0.5000)
V (0.5000, 0.5000, 0.0000)
Zn (0.5000, 0.5000, 0.5000)
Cu (0.0000, 0.0000, 0.5000)
Cu (0.0000, 0.5000, 0.0000)
Cu (0.5000, 0.0000, 0.0000)
O (0.0208, 0.3184, 0.1957)
O (0.1957, 0.0208, 0.3184)
O (0.2060, 0.3791, 0.6871)
O (0.3129, 0.7940, 0.6209)
O (0.3184, 0.1957, 0.0208)
O (0.3791, 0.6871, 0.2060)
O (0.6209, 0.3129, 0.7940)
O (0.6816, 0.8043, 0.9792)
O (0.6871, 0.2060, 0.3791)
O (0.7940, 0.6209, 0.3129)
O (0.8043, 0.9792, 0.6816)
O (0.9792, 0.6816, 0.8043)